1.
Below is a relaxed structure of ZrIr2Se, with properties calculated at the GGA-PBE level.

a b c (Å): 5.066 5.066 4.512
angles (deg): 96.09 96.09 37.13
Fractional positions:
1 Zr 0.000 0.000 0.000
2 Ir 0.271 0.271 0.771
3 Ir 0.729 0.729 0.229
4 Se 0.500 0.500 0.500

Calculated values
Space-group type = C2/m, No. 12
Calculated total energy = -7.77 eV/atom
ΔE_f (raw) = -327 meV per atom

2.
Below is a relaxed structure of OsRhSeBr2, with properties calculated at the GGA-PBE level.

a b c (Å): 5.248 5.248 4.597
angles (deg): 90.00 90.00 90.00
Fractional positions:
1 Os 0.000 0.000 0.000
2 Rh 0.500 0.500 0.500
3 Se 0.000 0.000 0.500
4 Br 0.000 0.500 0.000
5 Br 0.500 0.000 0.000

Calculated values
Space-group type = P4/mmm, No. 123
Calculated total energy = -4.04 eV/atom
ΔE_f (raw) = 1039 meV per atom

3.
Below is a relaxed structure of MgReHgC2, with properties calculated at the GGA-PBE level.

a b c (Å): 4.051 4.051 5.084
angles (deg): 90.00 90.00 90.00
Fractional positions:
1 Mg 0.000 0.000 0.000
2 Re 0.000 0.000 0.500
3 Hg 0.500 0.500 0.500
4 C 0.000 0.500 0.000
5 C 0.500 0.000 0.000

Calculated values
Space-group type = P4/mmm, No. 123
Calculated total energy = -3.71 eV/atom
Formation energy = 274 kJ per mole of atoms

4.
Below is a relaxed structure of CeSm5Se6, with properties calculated at the GGA-PBE level.

a b c (Å): 7.236 7.236 7.245
angles (deg): 99.59 99.59 120.15
Fractional positions:
1 Ce 0.000 0.000 0.000
2 Sm 0.169 0.831 0.500
3 Sm 0.332 0.668 0.000
4 Sm 0.500 0.500 0.500
5 Sm 0.668 0.332 0.000
6 Sm 0.831 0.169 0.500
7 Se 0.084 0.417 0.250
8 Se 0.250 0.250 0.749
9 Se 0.417 0.084 0.250
10 Se 0.583 0.916 0.750
11 Se 0.750 0.750 0.251
12 Se 0.916 0.583 0.750

Calculated values
Space-group type = C2/m, No. 12
Calculated total energy = -6.03 eV/atom
ΔE_f (raw) = -1823 meV per atom

5.
Below is a relaxed structure of NpPaSe2, with properties calculated at the GGA-PBE level.

a b c (Å): 7.933 7.933 7.933
angles (deg): 28.02 28.02 28.02
Fractional positions:
1 Np 0.000 0.000 0.000
2 Pa 0.828 0.828 0.828
3 Se 0.246 0.246 0.246
4 Se 0.414 0.414 0.414

Calculated values
Space-group type = R3m, No. 160
Calculated total energy = -8.39 eV/atom
ΔE_f (raw) = -1037 meV per atom

6.
Below is a relaxed structure of Sb2CSeI, with properties calculated at the GGA-PBE level.

a b c (Å): 4.896 4.896 4.893
angles (deg): 90.00 90.00 90.00
Fractional positions:
1 Sb 0.000 0.500 0.000
2 Sb 0.500 0.000 0.000
3 C 0.000 0.000 0.000
4 Se 0.500 0.500 0.500
5 I 0.000 0.000 0.500

Calculated values
Space-group type = P4/mmm, No. 123
Calculated total energy = -3.40 eV/atom
ΔE_f (raw) = 1101 meV per atom

> Which value of calculated total energy does entry 5 give?

-8.39 eV/atom